Entry 1:
The following is a DFT calculation (PBE) of a geometry-optimized Cd2TcRh structure.

The structure belongs to space group Pmmm (No. 47); the cell edges are 2.919, 4.842 and 4.867 Å and the angles 90.00°, 90.00° and 90.00°. The distinct sites, in fractional coordinates, are Cd at (0.000, 0.000, 0.000), Cd at (0.500, 0.000, 0.500), Tc at (0.000, 0.500, 0.500) and Rh at (0.500, 0.500, 0.000).

Its density of states at the Fermi level is 3.40 states/eV/f.u. The value obtained for the density is 10277 kg/m³. The calculation puts the calculated formation energy at 0.35 eV per atom. The energy above the lowest structure with this stoichiometry is 316.5 meV/atom. The uncorrected energy is -4.54 eV per atom.

***

Entry 2:
The following is a DFT calculation (PBE) of a geometry-optimized CdTc2Rh structure.

The structure belongs to space group Imm2 (No. 44); the cell edges are 3.205, 4.623 and 8.732 Å and the angles 90.00°, 90.00° and 90.00°. The distinct sites, in fractional coordinates, are Cd at (0.000, 0.000, 0.000), Tc at (0.000, 0.000, 0.521), Tc at (0.000, 0.500, 0.226) and Rh at (0.000, 0.500, 0.770).

Its density of states at the Fermi level is 4.67 states/eV/f.u. The value obtained for the density is 10559 kg/m³. The calculation puts the calculated formation energy at 0.34 eV per atom. The uncorrected energy is -6.91 eV per atom.

***

Entry 3:
The following is a DFT calculation (PBE) of a geometry-optimized CdTc2Rh structure.

The structure belongs to space group Pmm2 (No. 25); the cell edges are 2.786, 3.901 and 5.808 Å and the angles 90.00°, 90.00° and 90.00°. The distinct sites, in fractional coordinates, are Cd at (0.000, 0.000, 0.000), Tc at (0.000, 0.000, 0.506), Tc at (0.500, 0.500, 0.707) and Rh at (0.500, 0.500, 0.257).

Its density of states at the Fermi level is 4.41 states/eV/f.u. The value obtained for the density is 10822 kg/m³. The calculation puts the calculated formation energy at 0.18 eV per atom. The uncorrected energy is -7.07 eV per atom.